No. 1
Density functional theory data (PBE) for MnTcMo2 after structural relaxation.

The value obtained for the distance to the lowest polymorph of the same formula is 0.1411 eV per atom. The value obtained for the formation energy is 204.6 meV/atom.

abc: 3.857 3.913 3.913
angles: 90.00 90.00 90.00
Last column: magnetic moment on the atom in μB.
Positions (direct):
Mo1 0.000 0.500 0.500  -0.12
Mo2 0.000 0.000 0.000  -0.12
Mn1 0.500 0.000 0.500  2.52
Tc1 0.500 0.500 0.000  -0.05

***

No. 2
Density functional theory data (PBE) for LiYTa3 after structural relaxation.

The value obtained for the distance to the lowest polymorph of the same formula is 1.2429 eV per atom. The value obtained for the formation energy is 2344.3 meV/atom.

abc: 5.016 5.016 5.016
angles: 90.00 90.00 90.00
Positions (direct):
Ta1 0.000 0.000 0.500
Ta2 0.500 0.000 0.000
Ta3 0.000 0.500 0.000
Y1 0.000 0.000 0.000
Li1 0.500 0.500 0.500

***

No. 3
Density functional theory data (PBE) for Y3TaTc after structural relaxation.

The value obtained for the distance to the lowest polymorph of the same formula is 0.4820 eV per atom. The value obtained for the formation energy is 1296.5 meV/atom.

abc: 5.379 5.379 5.379
angles: 90.00 90.00 90.00
Last column: magnetic moment on the atom in μB.
Positions (direct):
Y1 0.000 0.000 0.500  -0.07
Y2 0.500 0.000 0.000  -0.09
Y3 0.000 0.500 0.000  -0.05
Ta1 0.000 0.000 0.000  0.03
Tc1 0.500 0.500 0.500  2.92

***

No. 4
Density functional theory data (PBE) for Re5Sb after structural relaxation.

The value obtained for the distance to the lowest polymorph of the same formula is 0.1005 eV per atom. The value obtained for the uncorrected formation energy is 0.379 eV/atom.

abc: 6.251 6.251 4.044
angles: 90.00 90.00 142.56
Positions (direct):
Re1 0.673 0.327 0.500
Re2 0.000 0.000 0.500
Re3 0.179 0.821 0.000
Re4 0.327 0.673 0.500
Re5 0.821 0.179 0.000
Sb1 0.500 0.500 0.000

***

No. 5
Density functional theory data (PBE) for TaCdSi after structural relaxation.

The value obtained for the distance to the lowest polymorph of the same formula is 0.0070 eV per atom. The value obtained for the uncorrected formation energy is 0.235 eV/atom.

abc: 2.988 2.988 7.039
angles: 90.00 90.00 120.00
Positions (direct):
Ta1 0.333 0.667 0.647
Si1 0.667 0.333 0.348
Cd1 0.000 0.000 0.005

***

No. 6
Density functional theory data (PBE) for Dy2TmThSc after structural relaxation.

The value obtained for the formation energy is 300.4 meV/atom.

abc: 6.580 7.717 6.143
angles: 90.00 90.00 90.00
Positions (direct):
Sc1 0.000 0.000 0.500
Sc2 0.000 0.000 0.000
Dy1 0.278 0.706 0.250
Dy2 0.722 0.706 0.750
Dy3 0.278 0.294 0.250
Dy4 0.722 0.294 0.750
Th1 0.592 0.000 0.250
Th2 0.408 0.000 0.750
Tm1 0.815 0.500 0.250
Tm2 0.185 0.500 0.750

***

No. 7
Density functional theory data (PBE) for ZnW2Se after structural relaxation.

The value obtained for the distance to the lowest polymorph of the same formula is 0.3522 eV per atom. The value obtained for the uncorrected formation energy is 0.647 eV/atom.

abc: 3.829 3.829 9.785
angles: 78.72 78.72 90.00
Positions (direct):
W1 0.135 0.625 0.250
W2 0.375 0.385 0.750
W3 0.875 0.865 0.750
W4 0.615 0.125 0.250
Zn1 0.500 0.500 0.000
Zn2 0.250 0.750 0.500
Se1 0.000 0.000 0.000
Se2 0.750 0.250 0.500

***

No. 8
Density functional theory data (PBE) for BaMg4TlCd2 after structural relaxation.

The value obtained for the formation energy is -105.5 meV/atom.

abc: 4.970 4.970 10.819
angles: 76.72 76.72 60.00
Positions (direct):
Mg1 0.407 0.407 0.780
Mg2 0.872 0.872 0.383
Mg3 0.593 0.593 0.220
Mg4 0.128 0.128 0.617
Tl1 0.500 0.500 0.500
Ba1 0.000 0.000 0.000
Cd1 0.249 0.249 0.252
Cd2 0.751 0.751 0.748

***

No. 9
Density functional theory data (PBE) for Hg3Bi2I2 after structural relaxation.

The value obtained for the uncorrected formation energy is -0.058 eV/atom.

abc: 6.147 7.774 15.027
angles: 90.00 91.54 90.00
Positions (direct):
Bi1 0.721 0.317 0.108
Bi2 0.279 0.683 0.892
Bi3 0.779 0.817 0.392
Bi4 0.221 0.183 0.608
Hg1 0.268 0.931 0.749
Hg2 0.232 0.431 0.751
Hg3 0.732 0.069 0.251
Hg4 0.500 0.500 0.500
Hg5 0.000 0.000 0.000
Hg6 0.768 0.569 0.249
I1 0.760 0.582 0.876
I2 0.240 0.418 0.124
I3 0.740 0.082 0.624
I4 0.260 0.918 0.376

***

No. 10
Density functional theory data (PBE) for Ba4Pa3TcN8 after structural relaxation.

The value obtained for the uncorrected formation energy is -0.954 eV/atom.

abc: 7.122 7.578 7.122
angles: 118.02 120.00 90.00
Last column: magnetic moment on the atom in μB.
Positions (direct):
N1 0.723 0.675 0.949  0.03
N2 0.725 0.674 0.449  0.00
N3 0.774 0.325 0.548  0.03
N4 0.774 0.325 0.051  0.03
N5 0.226 0.675 0.452  0.03
N6 0.277 0.325 0.051  0.03
N7 0.275 0.326 0.551  0.00
N8 0.226 0.675 0.949  0.03
Tc1 0.000 0.500 0.000  1.16
Pa1 0.000 0.500 0.500  0.01
Pa2 0.500 0.500 0.000  0.01
Pa3 0.500 0.500 0.500  0.01
Ba1 0.500 0.000 0.000  -0.06
Ba2 0.500 0.000 0.500  -0.04
Ba3 0.000 0.000 0.000  -0.04
Ba4 0.000 0.000 0.500  -0.04

***

No. 11
Density functional theory data (PBE) for Zr2SbMo after structural relaxation.

The value obtained for the uncorrected formation energy is -0.266 eV/atom.

abc: 4.517 3.534 5.588
angles: 71.76 90.00 90.00
Positions (direct):
Zr1 0.000 0.971 0.937
Zr2 0.500 0.267 0.338
Mo1 0.000 0.715 0.441
Sb1 0.500 0.547 0.783

***

No. 12
Density functional theory data (PBE) for PmPrAu after structural relaxation.

The value obtained for the distance to the lowest polymorph of the same formula is 0.0775 eV per atom. The value obtained for the formation energy is -479.4 meV/atom.

abc: 3.735 3.735 6.847
angles: 105.83 105.83 90.00
Last column: magnetic moment on the atom in μB.
Positions (direct):
Au1 0.945 0.945 0.890  0.01
Pm1 0.308 0.308 0.617  0.16
Pr1 0.597 0.597 0.193  0.15

***

No. 13
Density functional theory data (PBE) for TbCeEu2 after structural relaxation.

The value obtained for the distance to the lowest polymorph of the same formula is 0.0000 eV per atom. The value obtained for the formation energy is 230.4 meV/atom.

abc: 3.977 5.997 5.997
angles: 90.00 90.00 90.00
Last column: magnetic moment on the atom in μB.
Positions (direct):
Eu1 0.000 0.500 0.000  6.88
Eu2 0.000 0.000 0.500  6.88
Ce1 0.500 0.000 0.000  1.14
Tb1 0.500 0.500 0.500  0.15

***

No. 14
Density functional theory data (PBE) for ZrCoC3 after structural relaxation.

The value obtained for the distance to the lowest polymorph of the same formula is 0.0000 eV per atom. The value obtained for the formation energy is 1326.3 meV/atom.

abc: 3.743 3.743 3.743
angles: 90.00 90.00 90.00
Positions (direct):
C1 0.500 0.000 0.000
C2 0.000 0.500 0.000
C3 0.000 0.000 0.500
Co1 0.000 0.000 0.000
Zr1 0.500 0.500 0.500

***

No. 15
Density functional theory data (PBE) for RbZrTe3 after structural relaxation.

The value obtained for the distance to the lowest polymorph of the same formula is 0.0152 eV per atom. The value obtained for the uncorrected formation energy is -0.754 eV/atom.

abc: 5.713 5.713 5.713
angles: 90.00 90.00 90.00
Positions (direct):
Rb1 0.500 0.500 0.500
Te1 0.000 0.500 0.000
Te2 0.000 0.000 0.500
Te3 0.500 0.000 0.000
Zr1 0.000 0.000 0.000

***

No. 16
Density functional theory data (PBE) for CuSO5 after structural relaxation.

The value obtained for the distance to the lowest polymorph of the same formula is 0.5321 eV per atom. The value obtained for the uncorrected formation energy is -0.169 eV/atom.

abc: 4.820 4.820 7.141
angles: 67.32 67.32 71.30
Last column: magnetic moment on the atom in μB.
Positions (direct):
O1 0.293 0.143 0.360  0.11
O2 0.119 0.881 0.750  0.36
O3 0.321 0.802 0.029  0.06
O4 0.802 0.321 0.529  0.06
O5 0.857 0.707 0.140  0.11
O6 0.881 0.119 0.250  0.36
O7 0.707 0.857 0.640  0.11
O8 0.143 0.293 0.860  0.11
O9 0.679 0.198 0.971  0.06
O10 0.198 0.679 0.471  0.06
S1 0.000 0.000 0.000  -0.01
S2 0.000 0.000 0.500  -0.01
Cu1 0.487 0.513 0.750  0.40
Cu2 0.513 0.487 0.250  0.40

***

No. 17
Density functional theory data (PBE) for Np3Al after structural relaxation.

The value obtained for the formation energy is 213.4 meV/atom.

abc: 4.616 4.616 3.708
angles: 90.00 90.00 90.00
Last column: magnetic moment on the atom in μB.
Positions (direct):
Np1 0.500 0.500 0.142  1.91
Np2 0.000 0.500 0.426  -0.36
Np3 0.000 0.000 0.142  1.91
Al1 0.500 0.000 0.623  -0.01

***

No. 18
Density functional theory data (PBE) for Er2Ga3Ru after structural relaxation.

The value obtained for the formation energy is -282.3 meV/atom.

abc: 4.623 5.422 6.093
angles: 116.42 112.30 90.00
Positions (direct):
Ga1 0.626 0.626 0.251
Ga2 0.374 0.374 0.749
Ga3 0.000 0.000 0.000
Ru1 0.000 0.500 0.000
Er1 0.699 0.199 0.397
Er2 0.301 0.801 0.603

***

No. 19
Density functional theory data (PBE) for CaCd2In4 after structural relaxation.

The value obtained for the distance to the lowest polymorph of the same formula is 0.0392 eV per atom. The value obtained for the formation energy is -99.5 meV/atom.

abc: 4.456 4.872 9.146
angles: 105.45 90.00 90.00
Positions (direct):
In1 0.500 0.175 0.350
In2 0.000 0.309 0.618
In3 0.000 0.691 0.382
In4 0.500 0.825 0.650
Cd1 0.500 0.423 0.845
Cd2 0.500 0.577 0.155
Ca1 0.000 0.000 0.000

***

No. 20
Density functional theory data (PBE) for TcPt2F after structural relaxation.

The value obtained for the distance to the lowest polymorph of the same formula is 0.0995 eV per atom. The value obtained for the uncorrected formation energy is 0.232 eV/atom.

abc: 6.799 6.799 5.514
angles: 51.93 51.93 90.00
Last column: magnetic moment on the atom in μB.
Positions (direct):
Pt1 0.618 0.125 0.250  0.10
Pt2 0.875 0.868 0.750  0.11
Pt3 0.132 0.625 0.250  0.09
Pt4 0.375 0.382 0.750  0.12
Tc1 0.750 0.250 0.500  1.62
Tc2 0.000 0.000 0.000  1.64
F1 0.250 0.750 0.500  0.03
F2 0.500 0.500 0.000  0.03

***

No. 21
Density functional theory data (PBE) for Hf7Zr12In after structural relaxation.

The value obtained for the formation energy is 156.6 meV/atom.

abc: 7.740 7.740 7.740
angles: 89.45 89.45 89.45
Positions (direct):
Zr1 0.507 0.365 0.856
Zr2 0.877 0.269 0.729
Zr3 0.144 0.493 0.635
Zr4 0.365 0.856 0.507
Zr5 0.729 0.877 0.269
Zr6 0.493 0.635 0.144
Zr7 0.731 0.271 0.123
Zr8 0.271 0.123 0.731
Zr9 0.635 0.144 0.493
Zr10 0.856 0.507 0.365
Zr11 0.123 0.731 0.271
Zr12 0.269 0.729 0.877
Hf1 0.851 0.617 0.942
Hf2 0.617 0.942 0.851
Hf3 0.500 0.500 0.500
Hf4 0.149 0.383 0.058
Hf5 0.058 0.149 0.383
Hf6 0.942 0.851 0.617
Hf7 0.383 0.058 0.149
In1 0.000 0.000 0.000

***

No. 22
Density functional theory data (PBE) for SrCd9Rh2 after structural relaxation.

The value obtained for the formation energy is -181.1 meV/atom.

abc: 7.683 9.139 9.139
angles: 79.82 65.14 65.14
Positions (direct):
Cd1 0.309 0.677 0.081
Cd2 0.610 0.081 0.323
Cd3 0.441 0.419 0.823
Cd4 0.140 0.419 0.177
Cd5 0.610 0.323 0.081
Cd6 0.683 0.177 0.581
Cd7 0.000 0.000 0.000
Cd8 0.067 0.919 0.323
Cd9 0.014 0.919 0.677
Cd10 0.441 0.823 0.419
Cd11 0.736 0.823 0.581
Cd12 0.309 0.081 0.677
Cd13 0.140 0.177 0.419
Cd14 0.683 0.581 0.177
Cd15 0.736 0.581 0.823
Cd16 0.067 0.323 0.919
Cd17 0.014 0.677 0.919
Cd18 0.750 0.500 0.500
Rh1 0.375 0.750 0.750
Rh2 0.875 0.250 0.250
Rh3 0.875 0.750 0.250
Rh4 0.875 0.250 0.750
Sr1 0.500 0.000 0.000
Sr2 0.250 0.500 0.500

***

No. 23
Density functional theory data (PBE) for RbZrV3 after structural relaxation.

The value obtained for the distance to the lowest polymorph of the same formula is 0.0000 eV per atom. The value obtained for the formation energy is 1725.3 meV/atom.

abc: 5.161 5.161 5.161
angles: 90.00 90.00 90.00
Last column: magnetic moment on the atom in μB.
Positions (direct):
Zr1 0.000 0.000 0.000  -0.07
V1 0.000 0.500 0.000  2.21
V2 0.500 0.000 0.000  2.21
V3 0.000 0.000 0.500  2.21
Rb1 0.500 0.500 0.500  0.04

***

No. 24
Density functional theory data (PBE) for LiAgAs2Se4 after structural relaxation.

The value obtained for the uncorrected formation energy is -0.242 eV/atom.

abc: 6.375 6.375 6.748
angles: 115.92 115.92 94.28
Positions (direct):
Li1 0.006 0.006 0.012
Se1 0.376 0.882 0.257
Se2 0.882 0.376 0.257
Se3 0.104 0.104 0.719
Se4 0.615 0.615 0.719
As1 0.757 0.257 0.515
As2 0.257 0.757 0.515
Ag1 0.503 0.503 0.007

***

No. 25
Density functional theory data (PBE) for AcThSiAg after structural relaxation.

The value obtained for the uncorrected formation energy is -0.206 eV/atom.

abc: 5.350 5.350 5.350
angles: 60.00 60.00 60.00
Positions (direct):
Si1 0.250 0.250 0.250
Ac1 0.000 0.000 0.000
Th1 0.500 0.500 0.500
Ag1 0.750 0.750 0.750

***

no.,calculated volume (Å³ per atom),M_tot (μB/f.u.)
1,14.8,2.4
2,25.2,0.0
3,31.1,2.9
4,16.0,0.0
5,18.1,0.0
6,31.2,0.0
7,17.2,0.0
8,27.9,0.0
9,51.3,0.0
10,17.5,1.1
11,21.2,0.0
12,29.4,0.7
13,35.8,16.2
14,10.5,0.0
15,37.3,0.0
16,9.9,1.2
17,19.8,3.6
18,20.6,0.0
19,27.3,0.0
20,15.6,2.0
21,23.2,0.0
22,22.0,0.0
23,27.5,8.0
24,26.2,0.0
25,27.1,0.0